Record 1
Entry from Alexandria: a crystal of ZrReS3 relaxed with PBEsol (meta-GGA SCAN).

POSCAR file:
```
ZrReS3
1.0
4.883 0.000 0.000
0.000 4.883 0.000
0.000 0.000 4.883
Zr Re S
1 1 3
direct
0.000 0.000 0.000
0.500 0.500 0.500
0.000 0.000 0.500
0.000 0.500 0.000
0.500 0.000 0.000
```

Calculated values
Total moment = 1.00 μB per atom
Space-group type = Pm-3m, No. 221
Formation energy from raw total energies = 0.4201 eV per atom
Uncorrected energy = -128.58 eV/f.u.


Record 2
Entry from Alexandria: a crystal of ReSb8 relaxed with PBEsol (meta-GGA SCAN).

POSCAR file:
```
ReSb8
1.0
-5.945 5.945 1.632
5.945 -5.945 1.632
5.945 5.945 -1.632
Re Sb
1 8
direct
0.000 0.000 0.000
0.000 0.339 0.339
0.000 0.661 0.661
0.339 0.000 0.339
0.365 0.365 0.729
0.365 0.635 0.000
0.635 0.365 0.000
0.635 0.635 0.271
0.661 0.000 0.661
```

Calculated values
Total moment = 0.00 μB per atom
Space-group type = I4/mmm, No. 139
Formation energy from raw total energies = 0.3245 eV per atom
Uncorrected energy = -366.26 eV/f.u.


Record 3
Entry from Alexandria: a crystal of ReSb2 relaxed with PBEsol (meta-GGA SCAN).

POSCAR file:
```
ReSb2
1.0
-1.613 1.613 12.558
1.613 -1.613 12.558
1.613 1.613 -12.558
Re Sb
2 4
direct
0.375 0.625 0.750
0.625 0.375 0.250
0.060 0.810 0.250
0.190 0.940 0.250
0.810 0.060 0.750
0.940 0.190 0.750
```

Calculated values
Total moment = 0.00 μB per atom
Space-group type = I4_1/amd, No. 141
Formation energy from raw total energies = 0.3264 eV per atom
Uncorrected energy = -144.64 eV/f.u.


Record 4
Entry from Alexandria: a crystal of Re3Sb2 relaxed with PBEsol (meta-GGA SCAN).

POSCAR file:
```
Re3Sb2
1.0
4.423 0.000 0.000
-2.212 3.830 0.000
0.000 0.000 5.458
Re Sb
3 2
direct
0.000 0.000 0.000
0.333 0.667 0.307
0.667 0.333 0.693
0.333 0.667 0.793
0.667 0.333 0.207
```

Calculated values
Total moment = 0.00 μB per atom
Space-group type = P-3m1, No. 164
Formation energy from raw total energies = 1.1103 eV per atom
Uncorrected energy = -282.26 eV/f.u.


Record 5
Entry from Alexandria: a crystal of ScReSb2 relaxed with PBEsol (meta-GGA SCAN).

POSCAR file:
```
ScReSb2
1.0
4.756 0.000 0.000
0.000 4.756 0.000
0.000 0.000 3.368
Sc Re Sb
1 1 2
direct
0.000 0.000 0.000
0.500 0.500 0.000
0.000 0.500 0.500
0.500 0.000 0.500
```

Calculated values
Total moment = 0.00 μB per atom
Space-group type = P4/mmm, No. 123
Formation energy from raw total energies = 0.0927 eV per atom
Uncorrected energy = -159.49 eV/f.u.
Distance to the lowest polymorph of the same formula = 0.226 eV/atom


Record 6
Entry from Alexandria: a crystal of ScReSb2 relaxed with PBEsol (meta-GGA SCAN).

POSCAR file:
```
ScReSb2
1.0
3.428 0.000 0.000
0.000 3.428 0.000
0.000 0.000 6.981
Sc Re Sb
1 1 2
direct
0.000 0.000 0.000
0.500 0.500 0.220
0.000 0.000 0.422
0.500 0.500 0.783
```

Calculated values
Total moment = 0.00 μB per atom
Space-group type = P4mm, No. 99
Formation energy from raw total energies = -0.1332 eV per atom
Uncorrected energy = -160.39 eV/f.u.
Distance to the lowest polymorph of the same formula = 0.000 eV/atom


Record 7
Entry from Alexandria: a crystal of ScReSb2 relaxed with PBEsol (meta-GGA SCAN).

POSCAR file:
```
ScReSb2
1.0
-2.067 2.067 4.513
2.067 -2.067 4.513
2.067 2.067 -4.513
Sc Re Sb
1 1 2
direct
0.000 0.000 0.000
0.750 0.250 0.500
0.250 0.750 0.500
0.500 0.500 0.000
```

Calculated values
Total moment = 0.00 μB per atom
Space-group type = I-4m2, No. 119
Formation energy from raw total energies = 0.1600 eV per atom
Uncorrected energy = -159.22 eV/f.u.
Distance to the lowest polymorph of the same formula = 0.293 eV/atom


Record 8
Entry from Alexandria: a crystal of ScReSb2 relaxed with PBEsol (meta-GGA SCAN).

POSCAR file:
```
ScReSb2
1.0
3.261 0.000 0.000
0.000 3.261 0.000
0.000 0.000 7.253
Sc Re Sb
1 1 2
direct
0.000 0.000 0.000
0.000 0.000 0.500
0.500 0.500 0.276
0.500 0.500 0.724
```

Calculated values
Total moment = 0.00 μB per atom
Space-group type = P4/mmm, No. 123
Formation energy from raw total energies = -0.0021 eV per atom
Uncorrected energy = -159.86 eV/f.u.
Distance to the lowest polymorph of the same formula = 0.131 eV/atom